First-principles (GGA-PBE) data for a geometry-optimized La5Be structure, as listed in Alexandria.

Computed properties:
**Energy relative to the elements**: 0.07 eV/atom
**M_tot**: 0.0 Bohr magnetons per cell
**E_tot**: -4.66 eV per atom
**Crystal system**: tetragonal

```
data_La5Be
_chemical_formula_sum 'La5 Be1'
_symmetry_space_group_name_H-M 'P 4/m m m'
_symmetry_Int_Tables_number 123
_symmetry_space_group_name_Hall '-P 4 2'
_cell_length_a 3.7002
_cell_length_b 3.7002
_cell_length_c 14.0972
_cell_angle_alpha 90.00
_cell_angle_beta 90.00
_cell_angle_gamma 90.00
loop_
_atom_site_label
_atom_site_fract_x
_atom_site_fract_y
_atom_site_fract_z
La1 0.0000 0.0000 0.0000
La2 0.0000 0.0000 0.3844
La3 0.5000 0.5000 0.1853
Be1 0.5000 0.5000 0.5000
```

=====

First-principles (GGA-PBE) data for a geometry-optimized KLaV2Pb structure, as listed in Alexandria.

Computed properties:
**Energy relative to the elements**: 1.47 eV/atom
**M_tot**: 4.6 Bohr magnetons per cell
**E_tot**: -4.12 eV per atom
**Crystal system**: tetragonal

```
data_KLaV2Pb
_chemical_formula_sum 'K1 La1 V2 Pb1'
_symmetry_space_group_name_H-M 'P 4/m m m'
_symmetry_Int_Tables_number 123
_symmetry_space_group_name_Hall '-P 4 2'
_cell_length_a 4.9679
_cell_length_b 4.9679
_cell_length_c 5.8602
_cell_angle_alpha 90.00
_cell_angle_beta 90.00
_cell_angle_gamma 90.00
loop_
_atom_site_label
_atom_site_fract_x
_atom_site_fract_y
_atom_site_fract_z
K1 0.0000 0.0000 0.0000
La1 0.0000 0.0000 0.5000
V1 0.0000 0.5000 0.5000
Pb1 0.5000 0.5000 0.0000
```

=====

First-principles (GGA-PBE) data for a geometry-optimized AgPd5Pb2 structure, as listed in Alexandria.

Computed properties:
**Energy relative to the elements**: 0.09 eV/atom
**M_tot**: 0.0 Bohr magnetons per cell
**E_tot**: -4.44 eV per atom
**Crystal system**: orthorhombic

```
data_AgPd5Pb2
_chemical_formula_sum 'Ag4 Pd20 Pb8'
_symmetry_space_group_name_H-M 'C m c m'
_symmetry_Int_Tables_number 63
_symmetry_space_group_name_Hall '-C 2c 2'
_cell_length_a 2.9722
_cell_length_b 15.9138
_cell_length_c 14.1440
_cell_angle_alpha 90.00
_cell_angle_beta 90.00
_cell_angle_gamma 90.00
loop_
_atom_site_label
_atom_site_fract_x
_atom_site_fract_y
_atom_site_fract_z
Ag1 0.0000 0.1216 0.2500
Pd1 0.0000 0.0486 0.0807
Pd2 0.0000 0.2225 0.0820
Pd3 0.0000 0.2300 0.7500
Pb1 0.0000 0.1230 0.5966
```

=====

First-principles (GGA-PBE) data for a geometry-optimized CdHBr2 structure, as listed in Alexandria.

Computed properties:
**M_tot**: 4.0 Bohr magnetons per cell
**E_tot**: -1.76 eV per atom
**Crystal system**: cubic

```
data_CdHBr2
_chemical_formula_sum 'Cd4 H4 Br8'
_symmetry_space_group_name_H-M 'F m -3 m'
_symmetry_Int_Tables_number 225
_symmetry_space_group_name_Hall '-F 4 2 3'
_cell_length_a 7.0202
_cell_length_b 7.0202
_cell_length_c 7.0202
_cell_angle_alpha 90.00
_cell_angle_beta 90.00
_cell_angle_gamma 90.00
loop_
_atom_site_label
_atom_site_fract_x
_atom_site_fract_y
_atom_site_fract_z
Cd1 0.0000 0.0000 0.0000
H1 0.0000 0.0000 0.5000
Br1 0.2500 0.2500 0.2500
```

=====

First-principles (GGA-PBE) data for a geometry-optimized Pm3YIn structure, as listed in Alexandria.

Computed properties:
**Energy relative to the elements**: -0.19 eV/atom
**M_tot**: 0.0 Bohr magnetons per cell
**E_tot**: -4.88 eV per atom
**Crystal system**: orthorhombic

```
data_Pm3YIn
_chemical_formula_sum 'Pm12 Y4 In4'
_symmetry_space_group_name_H-M 'C m c m'
_symmetry_Int_Tables_number 63
_symmetry_space_group_name_Hall '-C 2c 2'
_cell_length_a 4.8898
_cell_length_b 25.7656
_cell_length_c 4.8969
_cell_angle_alpha 90.00
_cell_angle_beta 90.00
_cell_angle_gamma 90.00
loop_
_atom_site_label
_atom_site_fract_x
_atom_site_fract_y
_atom_site_fract_z
Pm1 0.0000 0.0533 0.2500
Pm2 0.0000 0.2492 0.2500
Pm3 0.0000 0.4473 0.2500
Y1 0.0000 0.1509 0.7500
In1 0.0000 0.3468 0.7500
```

=====

First-principles (GGA-PBE) data for a geometry-optimized Pm2EuCd structure, as listed in Alexandria.

Computed properties:
**Energy relative to the elements**: -0.06 eV/atom
**M_tot**: 7.2 Bohr magnetons per cell
**E_tot**: -5.24 eV per atom
**Crystal system**: tetragonal

```
data_Pm2EuCd
_chemical_formula_sum 'Pm2 Eu1 Cd1'
_symmetry_space_group_name_H-M 'P 4/m m m'
_symmetry_Int_Tables_number 123
_symmetry_space_group_name_Hall '-P 4 2'
_cell_length_a 5.0601
_cell_length_b 5.0601
_cell_length_c 4.8906
_cell_angle_alpha 90.00
_cell_angle_beta 90.00
_cell_angle_gamma 90.00
loop_
_atom_site_label
_atom_site_fract_x
_atom_site_fract_y
_atom_site_fract_z
Pm1 0.0000 0.5000 0.0000
Eu1 0.0000 0.0000 0.5000
Cd1 0.5000 0.5000 0.5000
```

=====

First-principles (GGA-PBE) data for a geometry-optimized ZnMo3 structure, as listed in Alexandria.

Computed properties:
**Energy relative to the elements**: 0.24 eV/atom
**M_tot**: 0.0 Bohr magnetons per cell
**E_tot**: -8.20 eV per atom
**Crystal system**: cubic

```
data_ZnMo3
_chemical_formula_sum 'Zn4 Mo12'
_symmetry_space_group_name_H-M 'F m -3 m'
_symmetry_Int_Tables_number 225
_symmetry_space_group_name_Hall '-F 4 2 3'
_cell_length_a 6.2780
_cell_length_b 6.2780
_cell_length_c 6.2780
_cell_angle_alpha 90.00
_cell_angle_beta 90.00
_cell_angle_gamma 90.00
loop_
_atom_site_label
_atom_site_fract_x
_atom_site_fract_y
_atom_site_fract_z
Zn1 0.0000 0.0000 0.0000
Mo1 0.0000 0.0000 0.5000
Mo2 0.2500 0.2500 0.2500
```

=====

First-principles (GGA-PBE) data for a geometry-optimized PuMgCu2 structure, as listed in Alexandria.

Computed properties:
**Energy relative to the elements**: 0.04 eV/atom
**M_tot**: 5.7 Bohr magnetons per cell
**E_tot**: -5.99 eV per atom
**Crystal system**: tetragonal

```
data_PuMgCu2
_chemical_formula_sum 'Pu1 Mg1 Cu2'
_symmetry_space_group_name_H-M 'P 4/m m m'
_symmetry_Int_Tables_number 123
_symmetry_space_group_name_Hall '-P 4 2'
_cell_length_a 4.9909
_cell_length_b 4.9909
_cell_length_c 2.9161
_cell_angle_alpha 90.00
_cell_angle_beta 90.00
_cell_angle_gamma 90.00
loop_
_atom_site_label
_atom_site_fract_x
_atom_site_fract_y
_atom_site_fract_z
Pu1 0.0000 0.0000 0.0000
Mg1 0.5000 0.5000 0.0000
Cu1 0.0000 0.5000 0.5000
```

=====

First-principles (GGA-PBE) data for a geometry-optimized LaTc2Pt structure, as listed in Alexandria.

Computed properties:
**Energy relative to the elements**: 0.27 eV/atom
**M_tot**: 0.0 Bohr magnetons per cell
**E_tot**: -7.66 eV per atom
**Crystal system**: monoclinic

```
data_LaTc2Pt
_chemical_formula_sum 'La2 Tc4 Pt2'
_symmetry_space_group_name_H-M 'C 1 2/m 1'
_symmetry_Int_Tables_number 12
_cell_length_a 5.5943
_cell_length_b 9.7711
_cell_length_c 2.8725
_cell_angle_alpha 90.00
_cell_angle_beta 112.44
_cell_angle_gamma 90.00
loop_
_symmetry_equiv_pos_as_xyz
'x,y,z'
'-x,-y,-z'
'-x,y,-z'
'x,-y,z'
'x+1/2,y+1/2,z'
'-x+1/2,-y+1/2,-z'
'-x+1/2,y+1/2,-z'
'x+1/2,-y+1/2,z'
loop_
_atom_site_label
_atom_site_fract_x
_atom_site_fract_y
_atom_site_fract_z
La1 0.0000 0.0000 0.0000
Tc1 0.2500 0.2500 0.5000
Pt1 0.0000 0.5000 0.0000
```

=====

First-principles (GGA-PBE) data for a geometry-optimized Pm2TmAl2Pd5 structure, as listed in Alexandria.

Computed properties:
**Energy relative to the elements**: -0.84 eV/atom
**M_tot**: 0.0 Bohr magnetons per cell
**E_tot**: -5.58 eV per atom
**Crystal system**: tetragonal

```
data_Pm2TmAl2Pd5
_chemical_formula_sum 'Pm4 Tm2 Al4 Pd10'
_symmetry_space_group_name_H-M 'P 4/m b m'
_symmetry_Int_Tables_number 127
_symmetry_space_group_name_Hall '-P 4 2ab'
_cell_length_a 10.3018
_cell_length_b 10.3018
_cell_length_c 3.7201
_cell_angle_alpha 90.00
_cell_angle_beta 90.00
_cell_angle_gamma 90.00
loop_
_atom_site_label
_atom_site_fract_x
_atom_site_fract_y
_atom_site_fract_z
Pm1 0.1777 0.3223 0.0000
Tm1 0.0000 0.0000 0.0000
Al1 0.1189 0.6189 0.0000
Pd1 0.0000 0.5000 0.5000
Pd2 0.0646 0.7841 0.5000
```

=====

First-principles (GGA-PBE) data for a geometry-optimized Cs2KHgBi structure, as listed in Alexandria.

Computed properties:
**Energy relative to the elements**: -0.17 eV/atom
**M_tot**: 0.0 Bohr magnetons per cell
**E_tot**: -1.57 eV per atom
**Crystal system**: tetragonal

```
data_Cs2KHgBi
_chemical_formula_sum 'Cs2 K1 Hg1 Bi1'
_symmetry_space_group_name_H-M 'P 4/m m m'
_symmetry_Int_Tables_number 123
_symmetry_space_group_name_Hall '-P 4 2'
_cell_length_a 7.6371
_cell_length_b 7.6371
_cell_length_c 6.8858
_cell_angle_alpha 90.00
_cell_angle_beta 90.00
_cell_angle_gamma 90.00
loop_
_atom_site_label
_atom_site_fract_x
_atom_site_fract_y
_atom_site_fract_z
Cs1 0.0000 0.5000 0.0000
K1 0.0000 0.0000 0.5000
Hg1 0.5000 0.5000 0.5000
Bi1 0.0000 0.0000 0.0000
```

=====

First-principles (GGA-PBE) data for a geometry-optimized NaZn3Ga structure, as listed in Alexandria.

Computed properties:
**Energy relative to the elements**: 0.06 eV/atom
**M_tot**: 0.0 Bohr magnetons per cell
**E_tot**: -1.57 eV per atom
**Crystal system**: hexagonal

```
data_NaZn3Ga
_chemical_formula_sum 'Na2 Zn6 Ga2'
_symmetry_space_group_name_H-M 'P 63/m m c'
_symmetry_Int_Tables_number 194
_symmetry_space_group_name_Hall '-P 6c 2c'
_cell_length_a 6.4500
_cell_length_b 6.4500
_cell_length_c 5.5083
_cell_angle_alpha 90.00
_cell_angle_beta 90.00
_cell_angle_gamma 120.00
loop_
_atom_site_label
_atom_site_fract_x
_atom_site_fract_y
_atom_site_fract_z
Na1 0.3333 0.6667 0.2500
Zn1 0.2001 0.4003 0.7500
Ga1 0.0000 0.0000 0.0000
```

=====

First-principles (GGA-PBE) data for a geometry-optimized Cr2NiMoPt structure, as listed in Alexandria.

Computed properties:
**Energy relative to the elements**: 1.76 eV/atom
**M_tot**: 1.9 Bohr magnetons per cell
**E_tot**: -6.62 eV per atom
**Crystal system**: tetragonal

```
data_Cr2NiMoPt
_chemical_formula_sum 'Cr2 Ni1 Mo1 Pt1'
_symmetry_space_group_name_H-M 'P 4/m m m'
_symmetry_Int_Tables_number 123
_symmetry_space_group_name_Hall '-P 4 2'
_cell_length_a 4.4596
_cell_length_b 4.4596
_cell_length_c 4.5018
_cell_angle_alpha 90.00
_cell_angle_beta 90.00
_cell_angle_gamma 90.00
loop_
_atom_site_label
_atom_site_fract_x
_atom_site_fract_y
_atom_site_fract_z
Cr1 0.0000 0.5000 0.0000
Ni1 0.0000 0.0000 0.5000
Mo1 0.5000 0.5000 0.5000
Pt1 0.0000 0.0000 0.0000
```